First-principles (GGA-PBE) data for a relaxed RbTaAlO2 crystal, as listed in Alexandria.

a b c (Å): 4.2037 6.5563 4.2037
angles (deg): 90.00 90.00 90.00
Site moments in Bohr magnetons follow the coordinates.
Fractional coordinates of all 5 atoms:
Ta: 0.0000 0.5000 0.0000  1.14
O: 0.5000 0.0000 0.0000  0.17
O: 0.0000 0.0000 0.5000  0.14
Rb: 0.0000 0.0000 0.0000  0.03
Al: 0.5000 0.5000 0.5000  0.00

Calculated values
- uncorrected energy (Ry per atom) = -0.2646
- total magnetization (μB per cell) = 2.2
- space-group type = No. 123